# AsIrO6

A geometry-optimized AsIrO6 structure (PBE, Alexandria via LeMat-Bulk).

Total energy = -143.62 eV per cell

abc: 4.8271 4.8271 12.7758
angles: 90.00 90.00 120.00
Space group R-3 (No. 148, hexagonal axes)
Symmetry-distinct sites (fractional):
As  0.0000  0.0000  0.0000 (multiplicity 3)
Ir  0.0000  0.0000  0.5000 (multiplicity 3)
O  0.0058  0.3593  0.7486 (multiplicity 18)